[1]
VASP calculation (GGA-PBE) on BeSe2NO after structural relaxation.

a b c (Å): 4.3070 4.3070 3.7965
angles (deg): 90.00 90.00 90.00
Closest atoms and distances in Å follow each position.
Space group P4/mmm (No. 123)
Symmetry-distinct sites (fractional):
Be1 0.0000 0.0000 0.0000 (multiplicity 1)  8 Se 2.87, 4 N 3.05
Se1 0.0000 0.5000 0.5000 (multiplicity 2)  2 O 2.15
N1 0.5000 0.5000 0.0000 (multiplicity 1)  2 O 1.90
O1 0.5000 0.5000 0.5000 (multiplicity 1)  2 N 1.90

Values from the calculation:
- VASP energy (eV per atom) = -3.353
- uncorrected formation energy (eV per atom) = 1.44
- distance to the lowest polymorph of the same formula (meV/atom) = 566
- N(E_F) (states/eV/f.u.) = 3.17



[2]
VASP calculation (GGA-PBE) on CaMgC3 after structural relaxation.

a b c (Å): 4.1537 4.1537 4.1537
angles (deg): 90.00 90.00 90.00
Closest atoms and distances in Å follow each position.
Space group Pm-3m (No. 221)
Symmetry-distinct sites (fractional):
Ca1 0.0000 0.0000 0.0000 (multiplicity 1)  12 C 2.94
Mg1 0.5000 0.5000 0.5000 (multiplicity 1)  6 C 2.08
C1 0.0000 0.5000 0.5000 (multiplicity 3)  2 Mg 2.08

Values from the calculation:
- VASP energy (eV per atom) = -4.188
- formation energy from the elements (eV/atom) = 2.066
- distance to the lowest polymorph of the same formula (meV/atom) = 0
- N(E_F) (states/eV/f.u.) = 3.32



[3]
VASP calculation (GGA-PBE) on BeGeAsBr2 after structural relaxation.

a b c (Å): 4.7068 4.7068 4.8710
angles (deg): 90.00 90.00 90.00
Closest atoms and distances in Å follow each position.
Space group P4/mmm (No. 123)
Symmetry-distinct sites (fractional):
Be1 0.0000 0.0000 0.0000 (multiplicity 1)  4 Br 2.35, 2 As 2.44
Ge1 0.5000 0.5000 0.5000 (multiplicity 1)  4 As 3.33, 8 Br 3.39
As1 0.0000 0.0000 0.5000 (multiplicity 1)  2 Be 2.44
Br1 0.0000 0.5000 0.0000 (multiplicity 2)  2 Be 2.35

Values from the calculation:
- VASP energy (eV per atom) = -3.017
- uncorrected formation energy (eV per atom) = 0.25
- distance to the lowest polymorph of the same formula (meV/atom) = 0
- N(E_F) (states/eV/f.u.) = 2.18



[4]
VASP calculation (GGA-PBE) on PmGdBiBr after structural relaxation.

a b c (Å): 7.6853 7.6853 7.6853
angles (deg): 90.00 90.00 90.00
Closest atoms and distances in Å follow each position.
Space group F-43m (No. 216)
Symmetry-distinct sites (fractional):
Pm1 0.0000 0.0000 0.0000 (multiplicity 4)  4 Bi 3.33, 4 Br 3.33
Gd1 0.0000 0.0000 0.5000 (multiplicity 4)  4 Bi 3.33, 4 Br 3.33
Bi1 0.2500 0.2500 0.2500 (multiplicity 4)  4 Gd 3.33, 4 Pm 3.33
Br1 0.2500 0.2500 0.7500 (multiplicity 4)  4 Gd 3.33, 4 Pm 3.33

Values from the calculation:
- VASP energy (eV per atom) = -7.039
- uncorrected formation energy (eV per atom) = -0.94
- N(E_F) (states/eV/f.u.) = 5.63



[5]
VASP calculation (GGA-PBE) on PIrBr2 after structural relaxation.

a b c (Å): 4.4966 3.2476 5.6009
angles (deg): 90.00 112.15 90.00
Closest atoms and distances in Å follow each position.
Space group P2/m (No. 10)
Symmetry-distinct sites (fractional):
P1 0.0000 0.0000 0.0000 (multiplicity 1)  6 Br 2.77-2.80
Ir1 0.5000 0.5000 0.5000 (multiplicity 1)  6 Br 2.77-2.80
Br1 0.0000 0.0000 0.5000 (multiplicity 1)  4 Ir 2.77, 2 P 2.80
Br2 0.5000 0.5000 0.0000 (multiplicity 1)  4 P 2.77, 2 Ir 2.80

Values from the calculation:
- VASP energy (eV per atom) = -3.339
- uncorrected formation energy (eV per atom) = 1.06
- distance to the lowest polymorph of the same formula (meV/atom) = 1500
- N(E_F) (states/eV/f.u.) = 3.05



[6]
VASP calculation (GGA-PBE) on Sb2Br after structural relaxation.

a b c (Å): 11.6786 4.1742 9.5480
angles (deg): 90.00 101.66 90.00
Closest atoms and distances in Å follow each position.
Space group Cm (No. 8)
Symmetry-distinct sites (fractional):
Sb1 0.0000 0.0000 0.0000 (multiplicity 2)  1 Br 2.61, 2 Sb 2.91
Sb2 0.0100 0.5000 0.2143 (multiplicity 2)  3 Sb 2.89-2.91
Sb3 0.2385 0.0000 0.5202 (multiplicity 2)  1 Br 2.61, 2 Sb 2.92
Sb4 0.2609 0.5000 0.3141 (multiplicity 2)  3 Sb 2.89-2.92
Br1 0.2164 0.0000 0.9653 (multiplicity 2)  1 Sb 2.61
Br2 0.4619 0.0000 0.6293 (multiplicity 2)  1 Sb 2.61

Values from the calculation:
- VASP energy (eV per atom) = -3.493
- uncorrected formation energy (eV per atom) = -0.19
- distance to the lowest polymorph of the same formula (meV/atom) = 3



[7]
VASP calculation (GGA-PBE) on LaTl3Tc after structural relaxation.

a b c (Å): 6.0545 6.0545 6.0545
angles (deg): 90.00 90.00 90.00
Closest atoms and distances in Å follow each position.
Space group Pm-3m (No. 221)
Symmetry-distinct sites (fractional):
La1 0.0000 0.0000 0.0000 (multiplicity 1)  6 Tl 3.03
Tl1 0.0000 0.0000 0.5000 (multiplicity 3)  2 La 3.03
Tc1 0.5000 0.5000 0.5000 (multiplicity 1)  12 Tl 4.28

Values from the calculation:
- VASP energy (eV per atom) = -2.972
- formation energy from the elements (eV/atom) = 1.506
- distance to the lowest polymorph of the same formula (meV/atom) = 1275
- N(E_F) (states/eV/f.u.) = 6.83



[8]
VASP calculation (GGA-PBE) on Nd7Cd2Ga2 after structural relaxation.

a b c (Å): 7.6445 10.8371 8.3873
angles (deg): 90.00 90.00 90.00
Closest atoms and distances in Å follow each position.
Space group Cmmm (No. 65)
Symmetry-distinct sites (fractional):
Nd1 0.0000 0.0000 0.0000 (multiplicity 2)  2 Cd 3.31
Nd2 0.0000 0.5000 0.2873 (multiplicity 4)  2 Ga 3.12, 2 Cd 3.20, 4 Nd 3.32
Nd3 0.2500 0.2500 0.2977 (multiplicity 8)  2 Cd 3.20, 2 Ga 3.26, 3 Nd 3.32-3.39
Cd1 0.0000 0.3052 0.0000 (multiplicity 4)  7 Nd 3.20-3.31
Ga1 0.1657 0.0000 0.5000 (multiplicity 4)  1 Ga 2.53

Values from the calculation:
- VASP energy (eV per atom) = -3.794
- formation energy from the elements (eV/atom) = -0.043
- N(E_F) (states/eV/f.u.) = 13.52



[9]
VASP calculation (GGA-PBE) on LaPr8Nd6 after structural relaxation.

a b c (Å): 9.6633 9.6633 6.8029
angles (deg): 90.00 90.00 120.00
Closest atoms and distances in Å follow each position.
Space group P-3 (No. 147)
Symmetry-distinct sites (fractional):
La1 0.0000 0.0000 0.0000 (multiplicity 1)  6 Pr 3.54, 6 Nd 3.95
Pr1 0.0268 0.7392 0.6571 (multiplicity 6)  4 Nd 3.37-3.64, 3 Pr 3.39-3.41, 1 La 3.54
Pr2 0.3333 0.6667 0.6041 (multiplicity 2)  3 Pr 3.39
Nd1 0.0849 0.6553 0.1531 (multiplicity 6)  1 Nd 3.33, 4 Pr 3.37-3.64

Values from the calculation:
- VASP energy (eV per atom) = -4.624
- formation energy from the elements (eV/atom) = 0.161
- distance to the lowest polymorph of the same formula (meV/atom) = 25
- N(E_F) (states/eV/f.u.) = 22.87



[10]
VASP calculation (GGA-PBE) on Mg3Al2CdAg3 after structural relaxation.

a b c (Å): 8.0609 8.0609 3.0045
angles (deg): 90.00 90.00 120.00
Closest atoms and distances in Å follow each position.
Space group P-62m (No. 189)
Symmetry-distinct sites (fractional):
Mg1 0.0000 0.3019 0.0000 (multiplicity 3)  2 Al 2.82, 2 Cd 2.86, 2 Ag 2.98, 2 Mg 3.00
Al1 0.3333 0.6667 0.0000 (multiplicity 2)  3 Mg 2.82, 6 Ag 2.94, 2 Al 3.00
Cd1 0.0000 0.0000 0.5000 (multiplicity 1)  6 Mg 2.86, 2 Cd 3.00, 3 Ag 3.06
Ag1 0.0000 0.6209 0.5000 (multiplicity 3)  4 Al 2.94, 6 Mg 2.98-3.18, 2 Ag 3.00, 1 Cd 3.06

Values from the calculation:
- VASP energy (eV per atom) = -2.452
- formation energy from the elements (eV/atom) = -0.036
- N(E_F) (states/eV/f.u.) = 2.09



[11]
VASP calculation (GGA-PBE) on CaMgFe3 after structural relaxation.

a b c (Å): 4.6237 4.6237 4.6237
angles (deg): 90.00 90.00 90.00
Closest atoms and distances in Å follow each position.
Space group Pm-3m (No. 221)
Symmetry-distinct sites (fractional):
Ca1 0.0000 0.0000 0.0000 (multiplicity 1)  6 Fe 2.31
Mg1 0.5000 0.5000 0.5000 (multiplicity 1)  12 Fe 3.27
Fe1 0.0000 0.0000 0.5000 (multiplicity 3)  2 Ca 2.31

Values from the calculation:
- VASP energy (eV per atom) = -4.083
- formation energy from the elements (eV/atom) = 1.713
- N(E_F) (states/eV/f.u.) = 8.30



[12]
VASP calculation (GGA-PBE) on Sm4Dy3Tm2 after structural relaxation.

a b c (Å): 15.1524 5.0392 7.9756
angles (deg): 90.00 108.45 90.00
Closest atoms and distances in Å follow each position.
Space group C2/m (No. 12)
Symmetry-distinct sites (fractional):
Sm1 0.0546 0.0000 0.3312 (multiplicity 4)  6 Dy 3.55-3.59, 2 Tm 3.56-3.57, 4 Sm 3.58-3.59
Sm2 0.2225 0.5000 0.3317 (multiplicity 4)  3 Tm 3.55-3.56, 4 Dy 3.56-3.60, 5 Sm 3.58-3.59
Dy1 0.0000 0.5000 0.0000 (multiplicity 2)  6 Sm 3.55-3.57, 2 Dy 3.56, 4 Tm 3.57
Dy2 0.1114 0.5000 0.6689 (multiplicity 4)  3 Tm 3.55, 2 Dy 3.56-3.59, 7 Sm 3.56-3.60
Tm1 0.1673 0.0000 0.9998 (multiplicity 4)  5 Sm 3.55-3.57, 5 Dy 3.55-3.57, 2 Tm 3.55

Values from the calculation:
- VASP energy (eV per atom) = -4.605
- formation energy from the elements (eV/atom) = 0.020
- distance to the lowest polymorph of the same formula (meV/atom) = 0
- N(E_F) (states/eV/f.u.) = 12.74